{"formula": "TeIrPb2", "functional": "PBE", "state": "relaxed", "formation_energy_uncorrected_kj_per_mol_atoms": 45.2, "vol_a3_per_fu": 101, "lattice_angstrom": [[6.370, 0.000, 0.000], [0.000, 8.328, 0.000], [-0.063, 0.000, 3.813]], "species": ["Te", "Te", "Ir", "Ir", "Pb", "Pb", "Pb", "Pb"], "frac_coords": [[0.000, 0.000, 0.000], [0.500, 0.500, 0.000], [0.000, 0.500, 0.000], [0.500, 0.000, 0.000], [0.250, 0.250, 0.500], [0.250, 0.750, 0.500], [0.750, 0.250, 0.500], [0.750, 0.750, 0.500]]}